DFT (GGA-PBE) results for an optimized crystal structure of Sr2PdI2O2.

a b c (Å): 4.1724 4.1724 11.0470
angles (deg): 100.89 100.89 90.00
Each line ends with the local moment (μB).
Fractional positions:
Sr1 0.4203 0.4203 0.8406  0.00
Sr2 0.5797 0.5797 0.1594  0.00
O1 0.5000 0.0000 0.0000  0.02
O2 0.0000 0.5000 0.0000  0.02
Pd1 0.0000 0.0000 0.0000  0.08
I1 0.8378 0.8378 0.6756  0.00
I2 0.1622 0.1622 0.3244  0.00

Values from the calculation:
space group: I4/mmm, No. 139
raw formation energy: -1.631 eV/atom